1.
Mn2VPtC | Alexandria | PBE | relaxed; total magnetic moment = 3.5 Bohr magnetons per cell; formation energy = -0.2127 eV/atom; crystal system = tetragonal; E = -43.8 eV for the cell shown
1.0
3.8695 0.0000 0.0000
0.0000 3.8695 0.0000
0.0000 0.0000 3.9897
Mn V Pt C
2 1 1 1
Cartesian
0.0000 1.9347 0.0000
1.9347 0.0000 0.0000
0.0000 0.0000 1.9949
1.9347 1.9347 1.9949
0.0000 0.0000 0.0000

2.
Sn2AsPd | Alexandria | PBE | relaxed; total magnetic moment = 0.0 Bohr magnetons per cell; formation energy = -0.0720 eV/atom; crystal system = tetragonal; E = -36.3 eV for the cell shown
1.0
-3.1356 3.1356 5.9535
3.1356 -3.1356 5.9535
3.1356 3.1356 -5.9535
Sn As Pd
4 2 2
Cartesian
4.7034 1.4625 -1.4884
1.4625 1.5678 1.4884
-1.5678 1.6731 4.4651
1.6731 1.5678 7.4419
3.1356 0.0000 2.9768
0.0000 0.0000 5.9535
0.0000 0.0000 0.0000
0.0000 3.1356 2.9768